# Cd2In2Sn3, optimized geometry, DFT PBE-GGA
data_Cd2In2Sn3
_chemical_formula_sum 'Cd2 In2 Sn3'
_cell_length_a 5.471
_cell_length_b 3.211
_cell_length_c 11.003
_cell_angle_alpha 90.00
_cell_angle_beta 103.38
_cell_angle_gamma 90.00
_symmetry_space_group_name_H-M 'P 1 2/m 1'
_symmetry_Int_Tables_number 10
_symmetry_space_group_name_Hall '-P 2y'
loop_
_atom_site_label
_atom_site_fract_x
_atom_site_fract_y
_atom_site_fract_z
Cd1 0.068 0.000 0.141
In1 0.357 0.500 0.720
Sn1 0.214 0.000 0.423
Sn2 0.500 0.000 0.000
# - D(E_F) (states/eV per cell) = 3.4
# - final energy (eV per atom) = -2.704

# Mn2AgPb, optimized geometry, DFT PBE-GGA
data_Mn2AgPb
_chemical_formula_sum 'Mn4 Ag2 Pb2'
_cell_length_a 10.007
_cell_length_b 3.115
_cell_length_c 4.946
_cell_angle_alpha 90.00
_cell_angle_beta 104.95
_cell_angle_gamma 90.00
_symmetry_space_group_name_H-M 'C 1 m 1'
_symmetry_Int_Tables_number 8
_symmetry_space_group_name_Hall 'C -2y'
loop_
_atom_site_label
_atom_site_fract_x
_atom_site_fract_y
_atom_site_fract_z
Mn1 0.000 0.000 0.000
Mn2 0.230 0.500 0.235
Ag1 0.475 0.000 0.456
Pb1 0.240 0.000 0.747
# - D(E_F) (states/eV per cell) = 5.6
# - final energy (eV per atom) = -5.789

Question: The highest D(E_F) belongs to which entry?
Answer: Mn2AgPb

Question: Look up the final energy of the second one.
Answer: -5.789 eV per atom

What did the second record say?
# Mn2AgPb, optimized geometry, DFT PBE-GGA
data_Mn2AgPb
_chemical_formula_sum 'Mn4 Ag2 Pb2'
_cell_length_a 10.007
_cell_length_b 3.115
_cell_length_c 4.946
_cell_angle_alpha 90.00
_cell_angle_beta 104.95
_cell_angle_gamma 90.00
_symmetry_space_group_name_H-M 'C 1 m 1'
_symmetry_Int_Tables_number 8
_symmetry_space_group_name_Hall 'C -2y'
loop_
_atom_site_label
_atom_site_fract_x
_atom_site_fract_y
_atom_site_fract_z
Mn1 0.000 0.000 0.000
Mn2 0.230 0.500 0.235
Ag1 0.475 0.000 0.456
Pb1 0.240 0.000 0.747
# - D(E_F) (states/eV per cell) = 5.6
# - final energy (eV per atom) = -5.789

Copy entry 2 word for word.
# Mn2AgPb, optimized geometry, DFT PBE-GGA
data_Mn2AgPb
_chemical_formula_sum 'Mn4 Ag2 Pb2'
_cell_length_a 10.007
_cell_length_b 3.115
_cell_length_c 4.946
_cell_angle_alpha 90.00
_cell_angle_beta 104.95
_cell_angle_gamma 90.00
_symmetry_space_group_name_H-M 'C 1 m 1'
_symmetry_Int_Tables_number 8
_symmetry_space_group_name_Hall 'C -2y'
loop_
_atom_site_label
_atom_site_fract_x
_atom_site_fract_y
_atom_site_fract_z
Mn1 0.000 0.000 0.000
Mn2 0.230 0.500 0.235
Ag1 0.475 0.000 0.456
Pb1 0.240 0.000 0.747
# - D(E_F) (states/eV per cell) = 5.6
# - final energy (eV per atom) = -5.789